10
Lattice="6.3175 0.0000 0.0000 0.0000 6.3175 0.0000 0.0000 0.0000 5.6019" Properties=species:S:1:pos:R:3 comment="Y2W2O | Alexandria via LeMat-Bulk | GGA+U | relaxed" total_magnetization_mub_per_fu=5.7 dft_energy_ev_per_cell=-63.4 mass_density_g_cm3=8.3 pbc="T T T"
Y 1.1370 2.0218 0.0000
Y 2.0218 5.1805 0.0000
Y 4.2957 1.1370 0.0000
Y 5.1805 4.2957 0.0000
W 0.9846 4.1434 2.8009
W 2.1741 0.9846 2.8009
W 4.1434 5.3329 2.8009
W 5.3329 2.1741 2.8009
O 0.0000 0.0000 0.0000
O 3.1588 3.1588 0.0000